1.
DFT (PBE) results for a relaxed SiTcAu2 crystal.

Lattice parameters (Å, degrees): 3.1467 4.7209 8.7883 90.00 90.00 90.00
Closest atoms and distances in Å follow each position.
Space group Cmm2 (No. 35)
Symmetry-distinct sites (fractional):
1 Si 0.0000 0.0000 0.0000 x2  2 Tc 2.36
2 Tc 0.0000 0.5000 0.2000 x2  2 Si 2.36
3 Au 0.0000 0.0000 0.4731 x2  8 Au 2.84-3.15, 2 Tc 2.87
4 Au 0.0000 0.5000 0.7570 x2  2 Si 2.65, 6 Au 2.84-2.95



2.
DFT (PBE) results for a relaxed SiTc2Au crystal.

Lattice parameters (Å, degrees): 3.0098 4.4080 9.0494 90.00 90.00 90.00
Closest atoms and distances in Å follow each position.
Space group Immm (No. 71)
Symmetry-distinct sites (fractional):
1 Si 0.0000 0.0000 0.0000 x2  4 Tc 2.44, 4 Au 2.67
2 Tc 0.0000 0.5000 0.2882 x4  2 Si 2.44
3 Au 0.0000 0.0000 0.5000 x2  4 Si 2.67, 4 Tc 2.92



3.
DFT (PBE) results for a relaxed SiTcAu2 crystal.

Lattice parameters (Å, degrees): 5.3430 10.2015 2.8817 90.00 122.61 90.00
Closest atoms and distances in Å follow each position.
Space group C2/m (No. 12)
Symmetry-distinct sites (fractional):
1 Si 0.0000 0.0000 0.0000 x2  4 Tc 2.67, 4 Au 2.88, 2 Si 2.88
2 Tc 0.0000 0.5000 0.0000 x2  4 Si 2.67, 4 Au 2.88, 2 Tc 2.88
3 Au 0.2500 0.2500 0.5000 x4  6 Au 2.67-2.88, 2 Tc 2.88, 2 Si 2.88



4.
DFT (PBE) results for a relaxed SiTc2Au crystal.

Lattice parameters (Å, degrees): 2.8685 3.8706 5.6540 90.00 104.61 90.00
Closest atoms and distances in Å follow each position.
Space group Pm (No. 6)
Symmetry-distinct sites (fractional):
1 Si 0.0000 0.0000 0.0000 x1  1 Tc 2.35, 2 Au 2.49
2 Tc 0.2118 0.0000 0.4302 x1  1 Si 2.35
3 Tc 0.5984 0.5000 0.2008 x1  4 Si 2.65, 6 Tc 2.72-2.87, 1 Au 2.81
4 Au 0.8536 0.5000 0.7143 x1  2 Si 2.49



Asked for total DFT energy (no corrections) across the records above, the calculation gives -43.206, -58.475, -42.681, -29.338 eV/cell in order.